1.
Below is a geometry-optimized Nd3Pb2 structure, with properties calculated at the PBE-GGA level.

The structure in extended XYZ format:
```
10
Lattice="6.036 0.000 -2.090 -0.723 5.993 -2.090 -0.184 -0.207 9.232" Properties=species:S:1:pos:R:3 pbc="T T T"
Nd 0.112 5.234 0.325
Nd 0.382 2.133 5.986
Nd 3.401 2.133 4.941
Nd 0.474 2.237 1.370
Nd 3.055 0.041 -0.939
Nd 3.929 4.432 1.588
Pb 4.911 5.539 4.422
Pb 4.036 1.148 1.896
Pb 2.948 3.325 -1.248
Pb 1.166 4.720 3.368
```

Summary:
The total magnetic moment is 0.6 μB per cell. Its space group is I4_1/amd, No. 141.

2.
Below is a geometry-optimized Nd3Pb5 structure, with properties calculated at the PBE-GGA level.

The structure in extended XYZ format:
```
8
Lattice="-3.347 0.218 3.460 -0.252 -7.096 0.203 5.104 0.670 4.895" Properties=species:S:1:pos:R:3 pbc="T T T"
Nd 2.426 -3.213 2.549
Nd -0.747 -5.279 2.965
Nd 2.253 -0.929 5.593
Pb 0.000 0.000 0.000
Pb 2.552 0.335 2.447
Pb -0.126 -3.548 0.101
Pb -0.371 -1.617 3.099
Pb 1.876 -4.592 5.459
```

Summary:
The total magnetic moment is 0.0 μB per cell. Its space group is Cmmm, No. 65.

3.
Below is a geometry-optimized Nd3Pb structure, with properties calculated at the PBE-GGA level.

The structure in extended XYZ format:
```
4
Lattice="4.917 0.000 0.000 0.000 4.917 0.000 -2.459 -2.459 5.203" Properties=species:S:1:pos:R:3 pbc="T T T"
Pb 0.000 0.000 0.000
Nd 2.459 0.000 2.601
Nd 0.000 2.459 2.601
Nd 2.459 2.459 0.000
```

Summary:
The total magnetic moment is 0.0 μB per cell. Its space group is I4/mmm, No. 139.

4.
Below is a geometry-optimized Nd5Pb3 structure, with properties calculated at the PBE-GGA level.

The structure in extended XYZ format:
```
16
Lattice="9.403 0.000 0.000 -4.701 8.143 0.000 0.000 0.000 6.896" Properties=species:S:1:pos:R:3 pbc="T T T"
Nd 4.701 2.714 0.000
Nd 0.000 5.429 0.000
Nd 0.000 5.429 3.448
Nd 4.701 2.714 3.448
Nd 3.576 6.194 5.172
Nd 2.251 0.000 5.172
Nd -1.125 1.949 5.172
Nd 1.125 1.949 1.724
Nd 7.152 0.000 1.724
Nd -3.576 6.194 1.724
Pb 1.852 3.208 5.172
Pb 5.698 0.000 5.172
Pb -2.849 4.935 5.172
Pb 2.849 4.935 1.724
Pb 3.705 0.000 1.724
Pb -1.852 3.208 1.724
```

Summary:
The total magnetic moment is 0.0 μB per cell. Its space group is P6_3/mcm, No. 193.

5.
Below is a geometry-optimized NdPb3 structure, with properties calculated at the PBE-GGA level.

The structure in extended XYZ format:
```
4
Lattice="3.638 0.000 0.000 0.000 5.865 0.000 -1.819 -2.932 5.706" Properties=species:S:1:pos:R:3 pbc="T T T"
Pb 0.000 1.996 2.834
Pb 1.819 2.866 0.000
Pb 1.819 -0.936 2.872
Nd 0.000 5.848 0.000
```

Summary:
The total magnetic moment is 0.0 μB per cell. Its space group is Imm2, No. 44.

6.
Below is a geometry-optimized Nd4Pb3 structure, with properties calculated at the PBE-GGA level.

The structure in extended XYZ format:
```
14
Lattice="7.935 0.000 -2.805 -3.967 6.872 -2.805 0.000 0.000 8.416" Properties=species:S:1:pos:R:3 pbc="T T T"
Nd 0.888 3.436 -2.418
Nd 2.532 2.487 1.790
Nd 0.000 0.000 3.046
Nd 4.515 0.949 -1.015
Nd 0.000 0.000 7.254
Nd -1.436 4.385 3.193
Nd 4.855 3.436 -3.821
Nd 0.548 5.923 0.387
Pb -0.496 2.577 0.701
Pb 1.984 5.154 3.507
Pb 5.951 1.718 2.104
Pb -1.488 6.013 -2.104
Pb 3.471 4.295 -0.701
Pb 2.480 0.859 4.909
```

Summary:
The total magnetic moment is 0.0 μB per cell. Its space group is I-43d, No. 220.

7.
Below is a geometry-optimized NdPb structure, with properties calculated at the PBE-GGA level.

The structure in extended XYZ format:
```
2
Lattice="-4.306 -0.403 1.523 -2.628 -3.470 -1.443 -1.105 -3.392 2.882" Properties=species:S:1:pos:R:3 pbc="T T T"
Pb 0.000 0.000 0.000
Nd -4.020 -3.632 1.481
```

Summary:
The total magnetic moment is 0.0 μB per cell. Its space group is Fm-3m, No. 225.

8.
Below is a geometry-optimized Nd5Pb2 structure, with properties calculated at the PBE-GGA level.

The structure in extended XYZ format:
```
14
Lattice="-3.229 0.433 5.063 3.811 -7.745 3.093 7.217 4.987 0.597" Properties=species:S:1:pos:R:3 pbc="T T T"
Nd 2.493 -2.106 3.229
Nd 5.314 3.397 0.978
Nd 6.189 -2.454 3.154
Nd 4.421 -3.865 5.727
Nd 1.611 0.129 5.599
Nd 3.378 1.540 3.026
Nd 2.486 -5.722 7.775
Nd 5.307 -0.219 5.524
Nd -1.503 -1.607 4.625
Nd 2.086 -5.705 3.532
Pb 6.828 1.104 2.815
Pb 0.370 0.268 2.348
Pb 0.972 -3.430 5.938
Pb 7.430 -2.593 6.406
```

Summary:
The total magnetic moment is 0.0 μB per cell. Its space group is C2/c, No. 15.

9.
Below is a geometry-optimized Nd3Pb structure, with properties calculated at the PBE-GGA level.

The structure in extended XYZ format:
```
4
Lattice="3.692 0.000 0.000 0.000 6.107 0.000 -1.846 -3.053 5.733" Properties=species:S:1:pos:R:3 pbc="T T T"
Pb 0.000 0.094 0.000
Nd 0.000 2.061 3.095
Nd 1.846 2.908 0.000
Nd 1.846 -0.992 2.638
```

Summary:
The total magnetic moment is 0.0 μB per cell. Its space group is Imm2, No. 44.

10.
Below is a geometry-optimized Nd5Pb2 structure, with properties calculated at the PBE-GGA level.

The structure in extended XYZ format:
```
14
Lattice="4.732 0.000 -0.474 0.000 4.707 0.000 -0.296 0.000 20.907" Properties=species:S:1:pos:R:3 pbc="T T T"
Nd 4.296 1.177 19.034
Nd 0.140 3.530 1.399
Nd 2.525 1.177 1.353
Nd 1.911 3.530 19.080
Nd 3.402 1.177 10.108
Nd 1.034 3.530 10.324
Nd 0.725 1.177 7.238
Nd 3.711 3.530 13.194
Nd 1.612 1.177 16.095
Nd 2.824 3.530 4.338
Pb 0.400 1.177 3.997
Pb 4.036 3.530 16.436
Pb 1.285 1.177 12.830
Pb 3.151 3.530 7.603
```

Summary:
The total magnetic moment is 0.0 μB per cell. Its space group is Cmcm, No. 63.

11.
Below is a geometry-optimized NdPb2 structure, with properties calculated at the PBE-GGA level.

The structure in extended XYZ format:
```
6
Lattice="-1.797 -1.295 6.082 3.568 -3.979 3.651 3.427 2.358 4.959" Properties=species:S:1:pos:R:3 pbc="T T T"
Pb 4.147 -1.175 6.142
Pb 1.465 0.167 7.357
Pb 3.249 -1.822 9.183
Pb 1.535 -3.002 6.703
Nd 0.000 0.000 0.000
Nd 1.300 -0.729 3.673
```

Summary:
The total magnetic moment is 1.2 μB per cell. Its space group is Fd-3m, No. 227.

12.
Below is a geometry-optimized Nd3Pb structure, with properties calculated at the PBE-GGA level.

The structure in extended XYZ format:
```
4
Lattice="5.636 0.000 0.000 2.818 4.881 0.000 2.818 1.627 4.602" Properties=species:S:1:pos:R:3 pbc="T T T"
Pb 5.636 3.254 2.301
Nd 0.000 0.000 0.000
Nd 8.454 4.881 3.451
Nd 2.818 1.627 1.150
```

Summary:
The total magnetic moment is 0.0 μB per cell. Its space group is Fm-3m, No. 225.

13.
Below is a geometry-optimized Nd3Pb4 structure, with properties calculated at the PBE-GGA level.

The structure in extended XYZ format:
```
14
Lattice="-2.343 2.178 -3.275 -3.937 -3.218 3.876 -1.250 13.081 9.593" Properties=species:S:1:pos:R:3 pbc="T T T"
Nd -2.986 1.661 0.041
Nd -4.571 10.377 10.170
Nd -3.367 5.656 2.970
Nd -4.186 6.385 7.240
Nd -5.937 2.508 2.715
Nd -1.617 9.534 7.497
Pb -2.365 2.419 3.300
Pb -5.190 9.620 6.909
Pb -3.963 -0.171 2.721
Pb -0.014 -0.002 0.009
Pb -4.315 3.530 5.434
Pb -3.595 12.209 7.490
Pb -0.636 6.541 4.805
Pb -3.237 8.512 4.776
```

Summary:
The total magnetic moment is 0.0 μB per cell. Its space group is Cmcm, No. 63.

14.
Below is a geometry-optimized NdPb3 structure, with properties calculated at the PBE-GGA level.

The structure in extended XYZ format:
```
4
Lattice="4.931 0.000 0.000 0.000 4.931 0.000 0.000 0.000 4.934" Properties=species:S:1:pos:R:3 pbc="T T T"
Pb 0.000 0.000 4.524
Pb 2.465 0.000 2.058
Pb 2.465 2.466 4.522
Nd 0.000 2.466 2.055
```

Summary:
The total magnetic moment is 0.0 μB per cell. Its space group is Pm-3m, No. 221.

15.
Below is a geometry-optimized Nd13Pb2 structure, with properties calculated at the PBE-GGA level.

The structure in extended XYZ format:
```
15
Lattice="6.759 -0.138 0.730 -1.040 9.008 0.264 0.387 -4.030 8.265" Properties=species:S:1:pos:R:3 pbc="T T T"
Nd 4.074 5.456 0.880
Nd 2.032 -0.616 8.378
Nd 0.000 0.000 0.000
Nd 2.132 -2.195 5.443
Nd 3.974 7.036 3.815
Nd 0.403 2.030 6.455
Nd 5.704 2.811 2.804
Nd 2.194 3.772 3.807
Nd 3.912 1.069 5.451
Nd 2.990 4.122 7.372
Nd 3.116 0.719 1.886
Nd 5.546 -1.529 7.215
Nd 0.560 6.370 2.043
Pb 5.623 4.496 5.556
Pb 0.483 0.345 3.703
```

Summary:
The total magnetic moment is 0.0 μB per cell. Its space group is P-1, No. 2.

16.
Below is a geometry-optimized NdPb6 structure, with properties calculated at the PBE-GGA level.

The structure in extended XYZ format:
```
7
Lattice="7.368 0.000 0.000 -2.456 6.947 0.000 -2.456 -3.473 6.016" Properties=species:S:1:pos:R:3 pbc="T T T"
Nd 0.000 0.000 0.000
Pb -1.228 3.473 3.008
Pb 1.228 4.342 1.504
Pb -1.228 0.868 4.512
Pb 3.684 0.000 3.008
Pb 1.228 -0.868 4.512
Pb 3.684 2.605 1.504
```

Summary:
The total magnetic moment is 0.8 μB per cell. Its space group is Im-3m, No. 229.

17.
Below is a geometry-optimized NdPb2 structure, with properties calculated at the PBE-GGA level.

The structure in extended XYZ format:
```
3
Lattice="-4.356 0.422 -1.048 -1.075 -2.213 3.768 1.849 4.771 1.352" Properties=species:S:1:pos:R:3 pbc="T T T"
Pb -0.192 1.259 0.820
Pb -3.390 1.722 3.252
Nd -2.716 -0.895 1.360
```

Summary:
The total magnetic moment is 0.0 μB per cell. Its space group is C2/m, No. 12.

18.
Below is a geometry-optimized Nd4Pb3 structure, with properties calculated at the PBE-GGA level.

The structure in extended XYZ format:
```
14
Lattice="-0.250 2.452 -8.020 -7.797 -1.570 2.689 3.404 6.083 4.679" Properties=species:S:1:pos:R:3 pbc="T T T"
Nd -0.125 1.226 -4.010
Nd 0.000 0.000 0.000
Nd -3.402 4.024 -2.803
Nd -3.651 0.896 -0.825
Nd -5.491 1.491 2.340
Nd -1.241 2.941 2.151
Nd -0.992 6.069 0.173
Nd 0.848 5.473 -2.992
Pb -1.950 4.540 5.130
Pb 1.546 4.899 2.205
Pb -0.771 2.976 -1.236
Pb -2.693 2.424 -5.783
Pb -6.189 2.066 -2.857
Pb -3.873 3.989 0.584
```

Summary:
The total magnetic moment is 0.0 μB per cell. Its space group is R-3, No. 148.

19.
Below is a geometry-optimized Nd3Pb2 structure, with properties calculated at the PBE-GGA level.

The structure in extended XYZ format:
```
15
Lattice="5.485 0.000 0.000 -2.742 8.178 0.726 0.000 -1.005 11.573" Properties=species:S:1:pos:R:3 pbc="T T T"
Nd 2.742 4.599 11.967
Nd 0.000 2.573 0.332
Nd 2.742 4.962 4.432
Nd 0.000 2.210 7.867
Nd 0.000 2.389 4.099
Nd 2.742 4.784 8.199
Nd 2.742 -0.183 3.768
Nd 0.000 7.356 8.530
Nd 2.742 0.000 0.000
Pb 2.742 1.986 6.168
Pb 0.000 5.187 6.131
Pb 2.742 2.796 2.032
Pb 0.000 4.377 10.267
Pb 2.742 7.771 2.794
Pb 0.000 -0.599 9.504
```

Summary:
The total magnetic moment is 0.0 μB per cell. Its space group is P-3m1, No. 164.

20.
Below is a geometry-optimized Nd2PdPb structure, with properties calculated at the PBE-GGA level.

The structure in extended XYZ format:
```
4
Lattice="-2.424 2.374 -2.207 0.271 -0.028 -4.039 -6.499 -5.442 -2.426" Properties=species:S:1:pos:R:3 pbc="T T T"
Pb -4.326 -1.548 -4.336
Nd -1.929 -0.522 -2.154
Nd -6.724 -2.575 -6.518
Pd 0.000 0.000 0.000
```

Summary:
The total magnetic moment is 0.0 μB per cell. Its space group is R-3m, No. 166.

21.
Below is a geometry-optimized Nd3Pd2Pb3 structure, with properties calculated at the PBE-GGA level.

The structure in extended XYZ format:
```
32
Lattice="6.155 0.000 0.000 0.000 8.657 0.000 0.000 0.000 16.073" Properties=species:S:1:pos:R:3 pbc="T T T"
Nd 0.776 4.059 6.255
Nd 3.853 0.270 9.818
Nd 5.380 4.598 14.292
Nd 2.302 8.387 1.781
Nd 5.380 4.598 9.818
Nd 2.302 8.387 6.255
Nd 0.776 4.059 1.781
Nd 3.853 0.270 14.292
Nd 3.948 2.853 4.018
Nd 0.870 1.476 12.055
Nd 2.207 5.804 12.055
Nd 5.285 7.181 4.018
Pd 5.377 0.745 6.184
Pd 2.300 3.584 9.889
Pd 0.778 7.912 14.220
Pd 3.855 5.073 1.852
Pd 0.778 7.912 9.889
Pd 3.855 5.073 6.184
Pd 5.377 0.745 1.852
Pd 2.300 3.584 14.220
Pb 0.824 1.626 4.018
Pb 3.901 2.702 12.055
Pb 5.331 7.031 12.055
Pb 2.254 5.955 4.018
Pb 3.722 2.623 7.453
Pb 0.645 1.705 8.620
Pb 2.433 6.034 15.489
Pb 5.510 6.952 0.583
Pb 2.433 6.034 8.620
Pb 5.510 6.952 7.453
Pb 3.722 2.623 0.583
Pb 0.645 1.705 15.489
```

Summary:
The total magnetic moment is 0.0 μB per cell. Its space group is Pnma, No. 62.

22.
Below is a geometry-optimized NdPd6Pb4 structure, with properties calculated at the PBE-GGA level.

The structure in extended XYZ format:
```
11
Lattice="7.140 -0.325 -0.478 -3.589 6.181 0.478 -3.589 -1.828 5.924" Properties=species:S:1:pos:R:3 pbc="T T T"
Nd 0.000 0.000 0.000
Pd -4.230 3.894 2.868
Pd -4.230 1.236 4.676
Pd 3.013 0.849 1.248
Pd 1.776 -1.077 2.723
Pd -1.770 2.402 3.533
Pd 1.776 2.928 0.000
Pb -2.290 -0.314 3.200
Pb 0.742 1.852 2.724
Pb -2.290 3.091 0.885
Pb -3.379 3.751 5.517
```

Summary:
The total magnetic moment is 0.0 μB per cell. Its space group is I-42m, No. 121.

Calculated calculated volume, 328.7 241.9 125.8 528.0 121.8 458.9 68.2 452.7 129.3 465.0 191.8 126.6 444.7 120.0 509.7 308.0 96.0 455.3 523.1 120.6 856.4 247.6 Å³/cell (same order as the records).
Calculated formation energy, -435 -453 -303 -540 -283 -582 -413 -326 -271 -351 -194 -147 -521 -373 -107 584 -244 -541 -403 -495 -629 -279 meV/atom (same order as the records).
Calculated VASP energy, -4.779 -4.559 -4.806 -4.911 -4.257 -4.895 -4.651 -4.791 -4.774 -4.816 -4.255 -4.650 -4.684 -4.347 -4.733 -3.275 -4.306 -4.855 -4.747 -5.104 -5.105 -4.893 eV/atom (same order as the records).